DFT (SCAN) results for a crystal of YAu3 relaxed with PBEsol.

```
YAu3
1.0
4.962 0.000 0.000
0.000 6.056 0.000
0.000 0.000 5.077
Y Au
2 6
Cartesian
1.240 1.514 0.789 Y
3.721 4.542 4.287 Y
1.240 3.069 3.355 Au
1.240 4.542 0.861 Au
1.240 6.015 3.355 Au
3.721 0.041 1.722 Au
3.721 1.514 4.216 Au
3.721 2.987 1.722 Au
```

Summary:
Crystal system   orthorhombic
DFT total energy   -59.71 eV/atom
Space group   Pmmn, No. 59